CdIn7Ga4: relaxed, PBE-GGA.

## Properties
- formation enthalpy at 0 K (eV/atom) = 0.04
- total magnetic moment (μB/f.u.) = 0.00

a b c (Å): 5.2755 5.2755 12.1640
angles (deg): 90.00 90.00 120.00
Space group P-3m1 (No. 164)
Asymmetric unit:
Cd  0.0000  0.0000  0.0000 (multiplicity 1)
In  0.0000  0.0000  0.2447 (multiplicity 2)
In  0.0000  0.0000  0.5000 (multiplicity 1)
In  0.3333  0.6667  0.6368 (multiplicity 2)
In  0.3333  0.6667  0.9036 (multiplicity 2)
Ga  0.3333  0.6667  0.1556 (multiplicity 2)
Ga  0.3333  0.6667  0.3821 (multiplicity 2)